## SmMg2 (meta-GGA SCAN)

Data for a crystal of SmMg2 relaxed with PBEsol. Values from VASP.

## Properties
* calculated total energy: -18.2270 eV/atom
* DFT formation energy: -0.10 eV/atom
* crystal system: cubic

Geometry as Quantum ESPRESSO input:
```
&SYSTEM
  ibrav = 0, nat = 6, ntyp = 2
/
ATOMIC_SPECIES
Mg 24.30 Mg.upf
Sm 150.36 Sm.upf
CELL_PARAMETERS angstrom
-2.191 -3.830 -4.108
0.656 -5.944 0.768
-4.790 -3.417 1.316
ATOMIC_POSITIONS angstrom
Mg -2.858 -6.329 0.789
Mg -3.953 -8.244 -1.265
Mg -1.558 -6.536 -1.923
Mg -4.281 -5.272 -1.649
Sm 0.000 0.000 0.000
Sm -1.581 -3.298 -0.506
```

=====

## Sm2Mg (meta-GGA SCAN)

Data for a crystal of Sm2Mg relaxed with PBEsol. Values from VASP.

## Properties
* calculated total energy: -31.3427 eV/atom
* DFT formation energy: -0.06 eV/atom
* crystal system: tetragonal

Geometry as Quantum ESPRESSO input:
```
&SYSTEM
  ibrav = 0, nat = 3, ntyp = 2
/
ATOMIC_SPECIES
Mg 24.30 Mg.upf
Sm 150.36 Sm.upf
CELL_PARAMETERS angstrom
3.561 0.000 0.000
0.000 3.561 0.000
-1.780 -1.780 6.855
ATOMIC_POSITIONS angstrom
Mg 1.780 1.780 0.000
Sm 0.000 0.000 2.220
Sm 1.780 1.780 4.635
```

=====

## SmMg3 (meta-GGA SCAN)

Data for a crystal of SmMg3 relaxed with PBEsol. Values from VASP.

## Properties
* calculated total energy: -14.9519 eV/atom
* DFT formation energy: -0.11 eV/atom
* crystal system: cubic

Geometry as Quantum ESPRESSO input:
```
&SYSTEM
  ibrav = 0, nat = 4, ntyp = 2
/
ATOMIC_SPECIES
Mg 24.30 Mg.upf
Sm 150.36 Sm.upf
CELL_PARAMETERS angstrom
-1.613 -0.055 4.903
-3.890 -3.089 1.403
0.918 -4.119 2.973
ATOMIC_POSITIONS angstrom
Mg -2.292 -3.632 4.639
Mg -1.146 -1.816 2.320
Mg -3.439 -5.447 6.959
Sm 0.000 0.000 0.000
```

=====

## SmMg (meta-GGA SCAN)

Data for a crystal of SmMg relaxed with PBEsol. Values from VASP.

## Properties
* calculated total energy: -24.8158 eV/atom
* DFT formation energy: -0.11 eV/atom
* crystal system: cubic

Geometry as Quantum ESPRESSO input:
```
&SYSTEM
  ibrav = 0, nat = 2, ntyp = 2
/
ATOMIC_SPECIES
Mg 24.30 Mg.upf
Sm 150.36 Sm.upf
CELL_PARAMETERS angstrom
3.790 0.000 0.000
0.000 3.790 0.000
0.000 0.000 3.790
ATOMIC_POSITIONS angstrom
Mg 0.000 0.000 0.000
Sm 1.895 1.895 1.895
```

=====

## SmMg5 (meta-GGA SCAN)

Data for a crystal of SmMg5 relaxed with PBEsol. Values from VASP.

## Properties
* calculated total energy: -11.5959 eV/atom
* DFT formation energy: -0.04 eV/atom
* crystal system: monoclinic

Geometry as Quantum ESPRESSO input:
```
&SYSTEM
  ibrav = 0, nat = 6, ntyp = 2
/
ATOMIC_SPECIES
Mg 24.30 Mg.upf
Sm 150.36 Sm.upf
CELL_PARAMETERS angstrom
4.842 0.000 0.000
-2.421 4.849 0.010
0.000 -1.732 6.166
ATOMIC_POSITIONS angstrom
Mg 2.421 0.075 4.971
Mg 0.000 1.915 4.171
Mg 0.000 -0.866 3.083
Mg 2.421 1.201 2.005
Mg 0.000 3.041 1.205
Sm 0.000 0.000 0.000
```

=====

## SmMgTl (meta-GGA SCAN)

Data for a crystal of SmMgTl relaxed with PBEsol. Values from VASP.

## Properties
* calculated total energy: -41.1713 eV/atom
* DFT formation energy: -0.58 eV/atom
* crystal system: hexagonal

Geometry as Quantum ESPRESSO input:
```
&SYSTEM
  ibrav = 0, nat = 9, ntyp = 3
/
ATOMIC_SPECIES
Sm 150.36 Sm.upf
Mg 24.30 Mg.upf
Tl 204.38 Tl.upf
CELL_PARAMETERS angstrom
4.660 0.000 0.000
0.000 7.558 0.000
0.000 -3.779 6.545
ATOMIC_POSITIONS angstrom
Sm 0.000 4.319 0.000
Sm 0.000 1.620 2.805
Sm 0.000 -2.159 3.740
Mg 2.330 -0.919 1.591
Mg 2.330 1.837 0.000
Mg 2.330 2.860 4.954
Tl 2.330 0.000 4.364
Tl 0.000 0.000 0.000
Tl 2.330 3.779 2.182
```

=====

## SmYMg2 (meta-GGA SCAN)

Data for a crystal of SmYMg2 relaxed with PBEsol. Values from VASP.

## Properties
* calculated total energy: -20.6718 eV/atom
* DFT formation energy: -0.11 eV/atom
* crystal system: cubic

Geometry as Quantum ESPRESSO input:
```
&SYSTEM
  ibrav = 0, nat = 4, ntyp = 3
/
ATOMIC_SPECIES
Y 88.91 Y.upf
Mg 24.30 Mg.upf
Sm 150.36 Sm.upf
CELL_PARAMETERS angstrom
5.336 0.000 0.000
2.668 4.621 0.000
2.668 1.540 4.357
ATOMIC_POSITIONS angstrom
Y 0.000 0.000 0.000
Mg 2.668 1.540 1.089
Mg 8.004 4.621 3.267
Sm 5.336 3.081 2.178
```

=====

## SmMgZn2 (meta-GGA SCAN)

Data for a crystal of SmMgZn2 relaxed with PBEsol. Values from VASP.

## Properties
* calculated total energy: -19.5250 eV/atom
* DFT formation energy: -0.41 eV/atom
* crystal system: cubic

Geometry as Quantum ESPRESSO input:
```
&SYSTEM
  ibrav = 0, nat = 4, ntyp = 3
/
ATOMIC_SPECIES
Zn 65.41 Zn.upf
Mg 24.30 Mg.upf
Sm 150.36 Sm.upf
CELL_PARAMETERS angstrom
-1.136 -2.995 3.596
0.184 -4.763 -0.685
3.438 -2.609 2.137
ATOMIC_POSITIONS angstrom
Zn 0.621 -2.592 1.262
Zn 1.864 -7.776 3.786
Mg 1.243 -5.184 2.524
Sm 0.000 0.000 0.000
```

=====

## Mg5Sn (meta-GGA SCAN)

Data for a crystal of Mg5Sn relaxed with PBEsol. Values from VASP.

## Properties
* calculated total energy: -10.2140 eV/atom
* DFT formation energy: -0.08 eV/atom
* crystal system: hexagonal

Geometry as Quantum ESPRESSO input:
```
&SYSTEM
  ibrav = 0, nat = 6, ntyp = 2
/
ATOMIC_SPECIES
Mg 24.30 Mg.upf
Sn 118.71 Sn.upf
CELL_PARAMETERS angstrom
-5.095 -0.712 -0.792
1.123 -3.467 -4.109
-0.531 -1.898 5.126
ATOMIC_POSITIONS angstrom
Mg -0.178 -0.635 1.714
Mg 0.376 -1.159 -1.374
Mg 0.394 -3.570 0.677
Mg -2.527 -2.777 1.652
Mg -1.976 -3.300 -1.426
Sn -2.547 -0.356 -0.396
```

=====

## Mg5Sn (meta-GGA SCAN)

Data for a crystal of Mg5Sn relaxed with PBEsol. Values from VASP.

## Properties
* calculated total energy: -10.2134 eV/atom
* DFT formation energy: -0.08 eV/atom
* crystal system: trigonal

Geometry as Quantum ESPRESSO input:
```
&SYSTEM
  ibrav = 0, nat = 6, ntyp = 2
/
ATOMIC_SPECIES
Mg 24.30 Mg.upf
Sn 118.71 Sn.upf
CELL_PARAMETERS angstrom
5.482 0.000 0.000
2.741 4.747 0.000
2.741 1.582 5.196
ATOMIC_POSITIONS angstrom
Mg 3.652 0.000 0.000
Mg 2.741 1.582 2.588
Mg 0.915 1.584 0.000
Mg 3.655 3.163 0.000
Mg 8.223 4.747 2.607
Sn 5.482 3.165 2.598
```

=====

## Mg5Sn (meta-GGA SCAN)

Data for a crystal of Mg5Sn relaxed with PBEsol. Values from VASP.

## Properties
* calculated total energy: -10.1891 eV/atom
* DFT formation energy: -0.06 eV/atom
* crystal system: monoclinic

Geometry as Quantum ESPRESSO input:
```
&SYSTEM
  ibrav = 0, nat = 6, ntyp = 2
/
ATOMIC_SPECIES
Mg 24.30 Mg.upf
Sn 118.71 Sn.upf
CELL_PARAMETERS angstrom
3.249 0.000 0.000
-1.625 5.805 -0.201
0.000 -1.897 7.295
ATOMIC_POSITIONS angstrom
Mg 0.000 -1.885 7.293
Mg 1.625 1.337 2.367
Mg 0.000 -0.535 4.413
Mg 0.000 2.576 4.752
Mg 1.625 0.775 6.794
Sn 0.000 4.005 1.874
```

=====

## Mg9Sn5 (meta-GGA SCAN)

Data for a crystal of Mg9Sn5 relaxed with PBEsol. Values from VASP.

## Properties
* calculated total energy: -16.2450 eV/atom
* DFT formation energy: -0.22 eV/atom
* crystal system: trigonal

Geometry as Quantum ESPRESSO input:
```
&SYSTEM
  ibrav = 0, nat = 28, ntyp = 2
/
ATOMIC_SPECIES
Mg 24.30 Mg.upf
Sn 118.71 Sn.upf
CELL_PARAMETERS angstrom
-4.689 7.296 1.427
-5.955 -4.144 -4.963
-1.941 -4.016 7.574
ATOMIC_POSITIONS angstrom
Mg -7.019 -3.205 2.908
Mg -8.239 0.303 -0.145
Mg -6.875 1.383 4.338
Mg -5.692 2.336 1.168
Mg -4.470 -1.175 4.226
Mg -5.835 -2.258 -0.261
Mg -9.797 1.901 2.627
Mg -8.683 -1.502 5.370
Mg -9.984 -2.352 1.136
Mg -2.917 -2.774 1.453
Mg -9.312 0.503 -3.362
Mg -6.390 -6.238 4.303
Mg -6.504 4.211 6.183
Mg -3.393 -1.380 7.439
Mg -6.315 5.370 -0.223
Mg -6.203 -5.082 -2.111
Mg -2.731 1.481 2.944
Mg -4.031 0.629 -1.292
Sn -1.732 -0.119 0.556
Sn -10.994 -0.754 3.527
Sn -4.703 -0.323 1.509
Sn -8.020 -0.550 2.573
Sn -7.813 -4.324 0.294
Sn -8.328 3.221 0.300
Sn -6.078 -0.420 6.535
Sn -4.898 3.452 3.782
Sn -4.381 -4.091 3.779
Sn -6.631 -0.453 -2.456
```

=====

## SrMgSn3 (meta-GGA SCAN)

Data for a crystal of SrMgSn3 relaxed with PBEsol. Values from VASP.

## Properties
* calculated total energy: -27.0756 eV/atom
* DFT formation energy: -0.07 eV/atom
* crystal system: cubic

Geometry as Quantum ESPRESSO input:
```
&SYSTEM
  ibrav = 0, nat = 5, ntyp = 3
/
ATOMIC_SPECIES
Sr 87.62 Sr.upf
Mg 24.30 Mg.upf
Sn 118.71 Sn.upf
CELL_PARAMETERS angstrom
-1.966 -1.998 -4.590
-1.517 -4.461 2.592
-4.770 2.242 1.068
ATOMIC_POSITIONS angstrom
Sr -4.127 -2.109 -0.465
Mg 0.000 0.000 0.000
Sn -0.758 -2.231 1.296
Sn -2.385 1.121 0.534
Sn -0.983 -0.999 -2.295
```

=====

## SrMgSn (meta-GGA SCAN)

Data for a crystal of SrMgSn relaxed with PBEsol. Values from VASP.

## Properties
* calculated total energy: -21.7031 eV/atom
* DFT formation energy: -0.65 eV/atom
* crystal system: orthorhombic

Geometry as Quantum ESPRESSO input:
```
&SYSTEM
  ibrav = 0, nat = 12, ntyp = 3
/
ATOMIC_SPECIES
Sr 87.62 Sr.upf
Mg 24.30 Mg.upf
Sn 118.71 Sn.upf
CELL_PARAMETERS angstrom
-0.430 -4.834 -0.337
6.924 -0.323 -4.200
4.486 -0.919 7.467
ATOMIC_POSITIONS angstrom
Sr 3.592 -1.955 5.915
Sr 4.456 -4.068 -0.002
Sr 7.388 -4.121 -2.985
Sr 6.524 -2.008 2.932
Mg 4.708 -1.482 -2.304
Mg 6.272 -4.594 5.234
Mg 2.872 -1.654 2.501
Mg 8.109 -4.423 0.429
Sn 3.935 -4.255 3.345
Sn 8.683 -4.680 3.386
Sn 2.297 -1.396 -0.456
Sn 7.045 -1.822 -0.415
```

=====

## SrMg2TlSn (meta-GGA SCAN)

Data for a crystal of SrMg2TlSn relaxed with PBEsol. Values from VASP.

## Properties
* calculated total energy: -28.0454 eV/atom
* DFT formation energy: 0.06 eV/atom
* crystal system: tetragonal

Geometry as Quantum ESPRESSO input:
```
&SYSTEM
  ibrav = 0, nat = 5, ntyp = 4
/
ATOMIC_SPECIES
Mg 24.30 Mg.upf
Sr 87.62 Sr.upf
Tl 204.38 Tl.upf
Sn 118.71 Sn.upf
CELL_PARAMETERS angstrom
5.247 0.000 0.000
0.000 5.247 0.000
0.000 0.000 6.025
ATOMIC_POSITIONS angstrom
Mg 0.000 2.624 0.000
Mg 2.624 0.000 0.000
Sr 2.624 2.624 3.012
Tl 0.000 0.000 0.000
Sn 0.000 0.000 3.012
```

=====

## TbMgSn (meta-GGA SCAN)

Data for a crystal of TbMgSn relaxed with PBEsol. Values from VASP.

## Properties
* calculated total energy: -29.8897 eV/atom
* DFT formation energy: -0.67 eV/atom
* crystal system: tetragonal

Geometry as Quantum ESPRESSO input:
```
&SYSTEM
  ibrav = 0, nat = 6, ntyp = 3
/
ATOMIC_SPECIES
Mg 24.30 Mg.upf
Tb 158.93 Tb.upf
Sn 118.71 Sn.upf
CELL_PARAMETERS angstrom
4.354 0.000 0.000
0.000 4.354 0.000
-2.177 -2.177 7.879
ATOMIC_POSITIONS angstrom
Mg 0.000 2.177 0.000
Mg 2.177 0.000 0.000
Tb 0.000 0.000 5.250
Tb 2.177 2.177 2.629
Sn 0.000 0.000 2.149
Sn 2.177 2.177 5.730
```

=====

## Mg3TcSn (meta-GGA SCAN)

Data for a crystal of Mg3TcSn relaxed with PBEsol. Values from VASP.

## Properties
* calculated total energy: -16.4733 eV/atom
* DFT formation energy: 0.71 eV/atom
* crystal system: cubic

Geometry as Quantum ESPRESSO input:
```
&SYSTEM
  ibrav = 0, nat = 5, ntyp = 3
/
ATOMIC_SPECIES
Mg 24.30 Mg.upf
Sn 118.71 Sn.upf
Tc 98.00 Tc.upf
CELL_PARAMETERS angstrom
4.972 0.000 0.000
0.000 4.972 0.000
0.000 0.000 4.972
ATOMIC_POSITIONS angstrom
Mg 0.000 2.486 0.000
Mg 0.000 0.000 2.486
Mg 2.486 0.000 0.000
Sn 2.486 2.486 2.486
Tc 0.000 0.000 0.000
```

=====

## MgTl2Sn2 (meta-GGA SCAN)

Data for a crystal of MgTl2Sn2 relaxed with PBEsol. Values from VASP.

## Properties
* calculated total energy: -44.2329 eV/atom
* DFT formation energy: 0.07 eV/atom
* crystal system: tetragonal

Geometry as Quantum ESPRESSO input:
```
&SYSTEM
  ibrav = 0, nat = 10, ntyp = 3
/
ATOMIC_SPECIES
Mg 24.30 Mg.upf
Tl 204.38 Tl.upf
Sn 118.71 Sn.upf
CELL_PARAMETERS angstrom
4.718 0.000 0.000
0.000 7.696 0.000
0.000 0.000 7.696
ATOMIC_POSITIONS angstrom
Mg 0.000 0.000 0.000
Mg 0.000 3.848 3.848
Tl 2.359 1.294 5.142
Tl 2.359 5.142 6.402
Tl 2.359 6.402 2.554
Tl 2.359 2.554 1.294
Sn 0.000 2.803 6.651
Sn 0.000 6.651 4.893
Sn 0.000 4.893 1.045
Sn 0.000 1.045 2.803
```

=====

## MgTlSn3 (meta-GGA SCAN)

Data for a crystal of MgTlSn3 relaxed with PBEsol. Values from VASP.

## Properties
* calculated total energy: -36.2558 eV/atom
* DFT formation energy: 0.76 eV/atom
* crystal system: cubic

Geometry as Quantum ESPRESSO input:
```
&SYSTEM
  ibrav = 0, nat = 5, ntyp = 3
/
ATOMIC_SPECIES
Mg 24.30 Mg.upf
Tl 204.38 Tl.upf
Sn 118.71 Sn.upf
CELL_PARAMETERS angstrom
5.626 0.000 0.000
0.000 5.626 0.000
0.000 0.000 5.626
ATOMIC_POSITIONS angstrom
Mg 2.813 2.813 2.813
Tl 0.000 0.000 0.000
Sn 0.000 2.813 0.000
Sn 0.000 0.000 2.813
Sn 2.813 0.000 0.000
```

=====

## TmMgSn (meta-GGA SCAN)

Data for a crystal of TmMgSn relaxed with PBEsol. Values from VASP.

## Properties
* calculated total energy: -31.5197 eV/atom
* DFT formation energy: -0.61 eV/atom
* crystal system: tetragonal

Geometry as Quantum ESPRESSO input:
```
&SYSTEM
  ibrav = 0, nat = 6, ntyp = 3
/
ATOMIC_SPECIES
Mg 24.30 Mg.upf
Tm 168.93 Tm.upf
Sn 118.71 Sn.upf
CELL_PARAMETERS angstrom
4.302 0.000 0.000
0.000 4.302 0.000
-2.151 -2.151 7.808
ATOMIC_POSITIONS angstrom
Mg 0.000 2.151 0.000
Mg 2.151 0.000 0.000
Tm 0.000 0.000 5.188
Tm 2.151 2.151 2.620
Sn 0.000 0.000 2.148
Sn 2.151 2.151 5.660
```